Entry from Alexandria: a relaxed RbFeAs2O8 crystal (GGA+U).

a b c (Å): 9.483 9.483 9.483
angles (deg): 31.45 31.45 31.45
Sites, in units of the cell vectors:
Rb 0.000 0.000 0.000
Fe 0.500 0.500 0.500
As 0.233 0.233 0.233
As 0.767 0.767 0.767
O 0.125 0.492 0.746
O 0.254 0.508 0.875
O 0.296 0.296 0.296
O 0.492 0.746 0.125
O 0.508 0.875 0.254
O 0.704 0.704 0.704
O 0.746 0.125 0.492
O 0.875 0.254 0.508

- Crystal system: trigonal
- Volume: 206.1 Å³ per cell
- Space group: No. 155
- D(E_F): 3.8 states/eV/cell
- Spin magnetization: 7.0 μB per cell
- Total DFT energy (no corrections): -68.7 eV/cell